{
  "formula": "LaTmPb",
  "functional": "GGA-PBE",
  "state": "optimized geometry",
  "cell": [[0.000, 3.705, 3.705], [3.705, 0.000, 3.705], [3.705, 3.705, 0.000]],
  "species": ["La", "Tm", "Pb"],
  "fractional_positions": [[0.000, 0.000, 0.000], [0.250, 0.250, 0.250], [0.500, 0.500, 0.500]],
  "final_energy_ev_per_cell": -12.5,
  "m_tot_mub_per_fu": 1.15,
  "volume_a3_per_cell": 101.7
}

***

{
  "formula": "La2Zn2Pb3",
  "functional": "GGA-PBE",
  "state": "optimized geometry",
  "cell": [[2.592, 1.497, 8.944], [-2.592, 1.497, 8.944], [0.000, -2.993, 8.944]],
  "species": ["La", "La", "Zn", "Zn", "Pb", "Pb", "Pb"],
  "fractional_positions": [[0.000, 0.000, 0.000], [0.495, 0.495, 0.495], [0.236, 0.236, 0.236], [0.751, 0.751, 0.751], [0.378, 0.378, 0.378], [0.619, 0.619, 0.619], [0.871, 0.871, 0.871]],
  "final_energy_ev_per_cell": -24.4,
  "m_tot_mub_per_fu": 0.00,
  "volume_a3_per_cell": 208.2
}

***

{
  "formula": "LaPd",
  "functional": "GGA-PBE",
  "state": "optimized geometry",
  "cell": [[3.649, 0.000, 0.000], [-1.825, 3.160, 0.000], [0.000, 0.000, 4.311]],
  "species": ["La", "Pd"],
  "fractional_positions": [[0.000, 0.000, 0.000], [0.667, 0.333, 0.500]],
  "e_form_ev_per_fu": -0.993,
  "m_tot_mub_per_fu": 0.00,
  "volume_a3_per_cell": 49.7
}

***

{
  "formula": "LaPd",
  "functional": "GGA-PBE",
  "state": "optimized geometry",
  "cell": [[1.985, -5.544, 0.000], [1.985, 5.544, 0.000], [0.000, 0.000, 4.651]],
  "species": ["La", "La", "Pd", "Pd"],
  "fractional_positions": [[0.135, 0.865, 0.750], [0.865, 0.135, 0.250], [0.410, 0.590, 0.750], [0.590, 0.410, 0.250]],
  "e_form_ev_per_fu": -1.678,
  "m_tot_mub_per_fu": 0.00,
  "volume_a3_per_cell": 102.4
}

***

> Number 2 is which compound?

La2Zn2Pb3